# 1
# Ca2TlPbN | Alexandria | PBE | optimized geometry
data_Ca2TlPbN
_chemical_formula_sum 'Ca2 Tl1 Pb1 N1'
_symmetry_space_group_name_H-M 'P 4/m m m'
_symmetry_Int_Tables_number 123
_symmetry_space_group_name_Hall '-P 4 2'
_cell_length_a 4.827
_cell_length_b 4.827
_cell_length_c 5.145
_cell_angle_alpha 90.00
_cell_angle_beta 90.00
_cell_angle_gamma 90.00
loop_
_atom_site_label
_atom_site_type_symbol
_atom_site_fract_x
_atom_site_fract_y
_atom_site_fract_z
Ca1 Ca 0.000 0.500 0.000
Tl1 Tl 0.000 0.000 0.500
Pb1 Pb 0.500 0.500 0.500
N1 N 0.000 0.000 0.000
# Size of the total moment (μB/f.u.): 0.00
# Uncorrected formation energy (eV/atom): -0.39
# Excess energy over the best structure of this formula in the dataset (meV per atom): 0

=====

# 2
# CrOs2Se | Alexandria | PBE | optimized geometry
data_CrOs2Se
_chemical_formula_sum 'Cr1 Os2 Se1'
_symmetry_space_group_name_H-M 'P 4/m m m'
_symmetry_Int_Tables_number 123
_symmetry_space_group_name_Hall '-P 4 2'
_cell_length_a 2.880
_cell_length_b 2.880
_cell_length_c 6.867
_cell_angle_alpha 90.00
_cell_angle_beta 90.00
_cell_angle_gamma 90.00
loop_
_atom_site_label
_atom_site_type_symbol
_atom_site_fract_x
_atom_site_fract_y
_atom_site_fract_z
Cr1 Cr 0.000 0.000 0.000
Os1 Os 0.500 0.500 0.236
Se1 Se 0.000 0.000 0.500
# Size of the total moment (μB/f.u.): 0.00
# Uncorrected formation energy (eV/atom): 0.47

=====

# 3
# Na2ReMo | Alexandria | PBE | optimized geometry
data_Na2ReMo
_chemical_formula_sum 'Na8 Re4 Mo4'
_symmetry_space_group_name_H-M 'F m -3 m'
_symmetry_Int_Tables_number 225
_symmetry_space_group_name_Hall '-F 4 2 3'
_cell_length_a 6.563
_cell_length_b 6.563
_cell_length_c 6.563
_cell_angle_alpha 90.00
_cell_angle_beta 90.00
_cell_angle_gamma 90.00
loop_
_atom_site_label
_atom_site_type_symbol
_atom_site_fract_x
_atom_site_fract_y
_atom_site_fract_z
Na1 Na 0.250 0.250 0.250
Re1 Re 0.000 0.000 0.000
Mo1 Mo 0.000 0.000 0.500
# Size of the total moment (μB/f.u.): 0.00
# Excess energy over the best structure of this formula in the dataset (meV per atom): 318

=====

What did the third record say?
# Na2ReMo | Alexandria | PBE | optimized geometry
data_Na2ReMo
_chemical_formula_sum 'Na8 Re4 Mo4'
_symmetry_space_group_name_H-M 'F m -3 m'
_symmetry_Int_Tables_number 225
_symmetry_space_group_name_Hall '-F 4 2 3'
_cell_length_a 6.563
_cell_length_b 6.563
_cell_length_c 6.563
_cell_angle_alpha 90.00
_cell_angle_beta 90.00
_cell_angle_gamma 90.00
loop_
_atom_site_label
_atom_site_type_symbol
_atom_site_fract_x
_atom_site_fract_y
_atom_site_fract_z
Na1 Na 0.250 0.250 0.250
Re1 Re 0.000 0.000 0.000
Mo1 Mo 0.000 0.000 0.500
# Size of the total moment (μB/f.u.): 0.00
# Excess energy over the best structure of this formula in the dataset (meV per atom): 318